A geometry-optimized LaFeSe structure. Source: Alexandria, functional PBE.

Lattice parameters (Å, degrees): 5.805 5.805 5.805 144.63 144.63 50.89
Last column: magnetic moment on the atom in μB.
Fractional coordinates of all 3 atoms:
Fe  0.029  0.029  0.000  2.89
La  0.338  0.338  0.000  -0.08
Se  0.632  0.632  0.000  0.11

Summary:
Polymorph energy (0 for the lowest one), eV per atom: 0.339
Uncorrected energy, eV/atom: -6.03
Formation energy without anion corrections, eV/atom: -0.41
Magnetization, μB/cell: 2.98
Fermi-level density of states, states/eV/f.u.: 3.1